Here is Cr2AsSe after structural relaxation from Alexandria. Energies are from PBE-GGA.

Computed properties:
- SG = Cmmm, No. 65
- total magnetic moment (Bohr magnetons per cell) = 13.886
- E above lowest polymorph (eV/f.u.) = 1.505
- total energy (eV per atom) = -6.713
- V (Å³/atom) = 17.00
- formation energy from raw total energies (eV/f.u.) = 0.53

a b c (Å): 4.2656 4.8709 6.5446
angles (deg): 90.00 90.00 90.00
Fractional positions:
1 Cr 0.0000 0.0000 0.2401
2 Cr 0.0000 0.0000 0.7599
3 Cr 0.5000 0.5000 0.2401
4 Cr 0.5000 0.5000 0.7599
5 As 0.0000 0.5000 0.0000
6 As 0.5000 0.0000 0.0000
7 Se 0.0000 0.5000 0.5000
8 Se 0.5000 0.0000 0.5000

Here is LaCeTeIr after structural relaxation from Alexandria. Energies are from PBE-GGA.

Computed properties:
- SG = R3m, No. 160
- total magnetic moment (Bohr magnetons per cell) = 1.393
- total energy (eV per atom) = -6.782
- V (Å³/atom) = 29.33
- formation energy from raw total energies (eV/f.u.) = -4.27

a b c (Å): 4.1863 4.1863 23.1870
angles (deg): 90.00 90.00 120.00
Fractional positions:
1 La 0.0000 0.0000 0.0000
2 La 0.3333 0.6667 0.6667
3 La 0.6667 0.3333 0.3333
4 Ce 0.0000 0.0000 0.8038
5 Ce 0.3333 0.6667 0.4705
6 Ce 0.6667 0.3333 0.1372
7 Te 0.0000 0.0000 0.2321
8 Te 0.3333 0.6667 0.8988
9 Te 0.6667 0.3333 0.5654
10 Ir 0.0000 0.0000 0.4072
11 Ir 0.3333 0.6667 0.0738
12 Ir 0.6667 0.3333 0.7405

Here is CsNa2Cd2 after structural relaxation from Alexandria. Energies are from PBE-GGA.

Computed properties:
- SG = Cmmm, No. 65
- total magnetic moment (Bohr magnetons per cell) = 0.000
- E above lowest polymorph (eV/f.u.) = 0.044
- total energy (eV per atom) = -1.093
- V (Å³/atom) = 40.03

a b c (Å): 5.0326 19.3136 4.1185
angles (deg): 90.00 90.00 90.00
Fractional positions:
1 Cs 0.0000 0.0000 0.0000
2 Cs 0.5000 0.5000 0.0000
3 Na 0.0000 0.3345 0.5000
4 Na 0.0000 0.6655 0.5000
5 Na 0.5000 0.1655 0.5000
6 Na 0.5000 0.8345 0.5000
7 Cd 0.0000 0.2044 0.0000
8 Cd 0.0000 0.7956 0.0000
9 Cd 0.5000 0.2956 0.0000
10 Cd 0.5000 0.7044 0.0000

Among the records above, which one has the highest V? CsNa2Cd2

Among the records above, which one has the lowest total energy? LaCeTeIr

total energy of number 1 (Cr2AsSe)? -6.713 eV per atom

The lowest V belongs to which entry? Cr2AsSe